(1)
The following is a GGA-PBE calculation of CaBr3Cl after structural relaxation, from the Alexandria database.

abc: 5.4482 5.4482 5.4482
angles: 90.00 90.00 90.00
With the nearest neighbours (Å) after each atom.
Atoms (fractional coordinates):
Ca  0.5000  0.5000  0.5000  12 Br 3.85
Cl  0.0000  0.0000  0.0000  6 Br 2.72
Br  0.0000  0.0000  0.5000  2 Cl 2.72
Br  0.0000  0.5000  0.0000  2 Cl 2.72
Br  0.5000  0.0000  0.0000  2 Cl 2.72

Properties
Uncorrected formation energy   -428 meV/atom
Volume   162 Å³/cell


(2)
The following is a GGA-PBE calculation of KMg6Tl2 after structural relaxation, from the Alexandria database.

abc: 4.7513 4.7513 11.0669
angles: 90.00 90.00 90.00
With the nearest neighbours (Å) after each atom.
Atoms (fractional coordinates):
Mg  0.0000  0.0000  0.5000  12 Mg 3.15-3.36
Mg  0.5000  0.0000  0.6868  2 Tl 3.01, 8 Mg 3.15-3.36
Mg  0.5000  0.5000  0.5000  12 Mg 3.15-3.36
Mg  0.0000  0.5000  0.3132  2 Tl 3.01, 8 Mg 3.15-3.36
Mg  0.5000  0.0000  0.3132  2 Tl 3.01, 8 Mg 3.15-3.36
Mg  0.0000  0.5000  0.6868  2 Tl 3.01, 8 Mg 3.15-3.36
Tl  0.5000  0.5000  0.1455  4 Mg 3.01, 1 Tl 3.22
Tl  0.5000  0.5000  0.8545  4 Mg 3.01, 1 Tl 3.22
K  0.0000  0.0000  0.0000  8 Tl 3.73

Properties
Calculated total energy   -1.73 eV/atom
Volume   250 Å³/cell


(3)
The following is a GGA-PBE calculation of Er2MgAg8 after structural relaxation, from the Alexandria database.

abc: 4.7251 7.0891 7.5707
angles: 113.19 108.18 90.00
With the nearest neighbours (Å) after each atom.
Atoms (fractional coordinates):
Ag  0.3342  0.1166  0.6684  1 Mg 2.83, 4 Ag 2.89-3.01, 3 Er 3.03-3.14
Ag  0.6658  0.8834  0.3316  1 Mg 2.83, 4 Ag 2.89-3.01, 3 Er 3.03-3.14
Ag  0.1437  0.1618  0.2875  5 Ag 2.86-3.18, 3 Er 3.03-3.17, 2 Mg 3.03
Ag  0.4120  0.5650  0.8241  1 Mg 2.81, 4 Ag 2.83-3.03, 3 Er 3.00-3.12
Ag  0.8563  0.8382  0.7125  5 Ag 2.86-3.18, 3 Er 3.03-3.17, 2 Mg 3.03
Ag  0.5880  0.4350  0.1759  1 Mg 2.81, 4 Ag 2.83-3.03, 3 Er 3.00-3.12
Ag  0.9746  0.2761  0.9492  7 Ag 2.83-3.01, 1 Er 3.00
Ag  0.0254  0.7239  0.0508  7 Ag 2.83-3.01, 1 Er 3.00
Er  0.7838  0.3498  0.5677  10 Ag 3.00-3.17
Er  0.2162  0.6502  0.4323  10 Ag 3.00-3.17
Mg  0.5000  0.0000  0.0000  8 Ag 2.81-3.03

Properties
Calculated total energy   -3.23 eV/atom
Volume   219 Å³/cell


(4)
The following is a GGA-PBE calculation of NpInTe2 after structural relaxation, from the Alexandria database.

abc: 4.2821 4.2821 30.2451
angles: 90.00 90.00 60.00
With the nearest neighbours (Å) after each atom.
Atoms (fractional coordinates):
In  0.6645  0.3355  0.3333  2 Te 3.23
In  0.3355  0.0000  0.6667  2 Te 3.23
In  0.0000  0.6645  0.0000  2 Te 3.23
Te  0.6667  0.3378  0.4403  3 Np 3.06, 1 In 3.23
Te  0.3333  0.0045  0.5597  3 Np 3.06, 1 In 3.23
Te  0.6622  0.3333  0.2264  3 Np 3.06, 1 In 3.23
Te  0.0045  0.6622  0.8931  3 Np 3.06, 1 In 3.23
Te  0.3378  0.9955  0.7736  3 Np 3.06, 1 In 3.23
Te  0.9955  0.6667  0.1069  3 Np 3.06, 1 In 3.23
Np  0.0000  0.6711  0.5000  6 Te 3.06
Np  0.6711  0.3289  0.8333  6 Te 3.06
Np  0.3289  0.0000  0.1667  6 Te 3.06

Properties
Uncorrected formation energy   -306 meV/atom
Volume   480 Å³/cell


(5)
The following is a GGA-PBE calculation of BeTeRu2 after structural relaxation, from the Alexandria database.

abc: 3.0160 3.0160 7.8286
angles: 90.00 90.00 90.00
With the nearest neighbours (Å) after each atom.
Atoms (fractional coordinates):
Ru  0.5000  0.5000  0.2158  1 Be 2.70, 4 Te 2.71, 8 Ru 2.80-3.02
Ru  0.0000  0.0000  0.9849  4 Be 2.31
Te  0.0000  0.0000  0.4285  4 Ru 2.71, 4 Te 3.02
Be  0.5000  0.5000  0.8708  4 Ru 2.31

Properties
Uncorrected formation energy   288 meV/atom
Volume   71 Å³/cell
Excess energy over the best structure of this formula in the dataset   256 meV/atom


(6)
The following is a GGA-PBE calculation of Cu5Mo after structural relaxation, from the Alexandria database.

abc: 4.7041 4.7041 4.1280
angles: 90.00 90.00 120.00
With the nearest neighbours (Å) after each atom.
Atoms (fractional coordinates):
Mo  0.0000  0.0000  0.0000  6 Cu 2.72
Cu  0.5000  0.5000  0.5000  8 Cu 2.35-2.47
Cu  0.5000  0.0000  0.5000  8 Cu 2.35-2.47
Cu  0.6667  0.3333  0.0000  9 Cu 2.47-2.72, 3 Mo 2.72
Cu  0.3333  0.6667  0.0000  9 Cu 2.47-2.72, 3 Mo 2.72
Cu  0.0000  0.5000  0.5000  8 Cu 2.35-2.47

Properties
Volume   79 Å³/cell
Excess energy over the best structure of this formula in the dataset   336 meV/atom


(7)
The following is a GGA-PBE calculation of Mg7Hg2Au2 after structural relaxation, from the Alexandria database.

abc: 6.3157 6.7108 6.3157
angles: 90.02 103.15 89.98
With the nearest neighbours (Å) after each atom.
Atoms (fractional coordinates):
Mg  0.5002  0.2693  0.0001  2 Au 2.68, 2 Hg 2.96
Mg  0.0000  0.0000  0.0000  2 Au 2.76
Mg  0.4998  0.7307  0.9999  2 Au 2.68, 2 Hg 2.96
Mg  0.5000  0.2453  0.5000  2 Au 2.74, 2 Hg 2.97
Mg  0.5000  0.7547  0.5000  2 Au 2.74, 2 Hg 2.97
Mg  0.9999  0.2693  0.4998  2 Au 2.68, 2 Hg 2.96
Mg  0.0001  0.7307  0.5002  2 Au 2.68, 2 Hg 2.96
Au  0.7208  0.9999  0.2792  7 Mg 2.68-2.76
Au  0.2792  0.0001  0.7208  7 Mg 2.68-2.76
Hg  0.8098  0.5000  0.8098  6 Mg 2.96-2.97, 1 Hg 2.99
Hg  0.1902  0.5000  0.1902  6 Mg 2.96-2.97, 1 Hg 2.99

Properties
Volume   261 Å³/cell
Excess energy over the best structure of this formula in the dataset   105 meV/atom


(8)
The following is a GGA-PBE calculation of SrCa4In5 after structural relaxation, from the Alexandria database.

abc: 3.9440 3.9440 19.0531
angles: 90.00 90.00 90.00
With the nearest neighbours (Å) after each atom.
Atoms (fractional coordinates):
Ca  0.0000  0.0000  0.4024  8 In 3.35-3.36, 2 Ca 3.71-3.72
Ca  0.0000  0.0000  0.5976  8 In 3.35-3.36, 2 Ca 3.71-3.72
Ca  0.0000  0.0000  0.2074  8 In 3.33-3.35, 1 Ca 3.71
Ca  0.0000  0.0000  0.7926  8 In 3.33-3.35, 1 Ca 3.71
In  0.5000  0.5000  0.6955  8 Ca 3.35-3.36, 2 In 3.66-3.73
In  0.5000  0.5000  0.5000  8 Ca 3.35, 2 In 3.73
In  0.5000  0.5000  0.8877  4 Ca 3.33, 4 Sr 3.51, 1 In 3.66
In  0.5000  0.5000  0.3045  8 Ca 3.35-3.36, 2 In 3.66-3.73
In  0.5000  0.5000  0.1123  4 Ca 3.33, 4 Sr 3.51, 1 In 3.66
Sr  0.0000  0.0000  0.0000  8 In 3.51

Properties
Calculated total energy   -2.80 eV/atom
Volume   296 Å³/cell